# 1
{
  "formula": "BaCuP2O",
  "functional": "GGA-PBE",
  "state": "optimized geometry",
  "dos_ef_per_ev_atom": 1.684,
  "relative_energy_mev_per_atom": 1399,
  "energy_ev_per_atom": -3.16,
  "raw_formation_energy_ev_per_fu": 6.0,
  "lattice": [[5.941, 0.000, 0.000], [0.000, 5.941, 0.000], [0.000, 0.000, 4.316]],
  "species": ["Ba", "Cu", "P", "P", "O"],
  "frac_coords": [[0.000, 0.000, 0.000], [0.500, 0.500, 0.500], [0.000, 0.500, 0.000], [0.500, 0.000, 0.000], [0.000, 0.000, 0.500]]
}

# 2
{
  "formula": "BaCuP2O7",
  "functional": "GGA-PBE",
  "state": "optimized geometry",
  "energy_ev_per_atom": -6.88,
  "raw_formation_energy_ev_per_fu": -24.2,
  "lattice": [[5.274, 0.000, 0.000], [-0.233, 7.677, 0.000], [-0.740, -1.839, 7.421]],
  "species": ["Ba", "Ba", "Cu", "Cu", "P", "P", "P", "P", "O", "O", "O", "O", "O", "O", "O", "O", "O", "O", "O", "O", "O", "O"],
  "frac_coords": [[0.191, 0.429, 0.277], [0.809, 0.571, 0.723], [0.178, 0.903, 0.145], [0.822, 0.097, 0.855], [0.288, 0.900, 0.692], [0.313, 0.280, 0.766], [0.687, 0.720, 0.234], [0.712, 0.100, 0.308], [0.093, 0.295, 0.889], [0.094, 0.916, 0.836], [0.213, 0.745, 0.533], [0.273, 0.086, 0.625], [0.300, 0.423, 0.658], [0.423, 0.711, 0.125], [0.435, 0.104, 0.222], [0.565, 0.896, 0.778], [0.577, 0.289, 0.875], [0.700, 0.577, 0.342], [0.727, 0.914, 0.375], [0.787, 0.255, 0.467], [0.906, 0.084, 0.164], [0.907, 0.705, 0.111]]
}

# 3
{
  "formula": "BaTiCu4P4O17",
  "functional": "GGA-PBE",
  "state": "optimized geometry",
  "dos_ef_per_ev_atom": 0.032,
  "energy_ev_per_atom": -6.85,
  "raw_formation_energy_ev_per_fu": -52.8,
  "lattice": [[9.736, 0.000, 0.000], [0.000, 9.736, 0.000], [0.000, 0.000, 7.261]],
  "species": ["Ba", "Ba", "Ti", "Ti", "Cu", "Cu", "Cu", "Cu", "Cu", "Cu", "Cu", "Cu", "P", "P", "P", "P", "P", "P", "P", "P", "O", "O", "O", "O", "O", "O", "O", "O", "O", "O", "O", "O", "O", "O", "O", "O", "O", "O", "O", "O", "O", "O", "O", "O", "O", "O", "O", "O", "O", "O", "O", "O", "O", "O"],
  "frac_coords": [[0.000, 0.000, 0.000], [0.500, 0.500, 0.000], [0.000, 0.500, 0.024], [0.500, 0.000, 0.976], [0.009, 0.268, 0.598], [0.232, 0.509, 0.598], [0.268, 0.009, 0.402], [0.491, 0.768, 0.402], [0.509, 0.232, 0.402], [0.732, 0.991, 0.402], [0.768, 0.491, 0.598], [0.991, 0.732, 0.598], [0.196, 0.716, 0.263], [0.216, 0.304, 0.263], [0.284, 0.804, 0.737], [0.304, 0.216, 0.737], [0.696, 0.784, 0.737], [0.716, 0.196, 0.737], [0.784, 0.696, 0.263], [0.804, 0.284, 0.263], [0.000, 0.500, 0.789], [0.119, 0.656, 0.096], [0.128, 0.835, 0.735], [0.138, 0.650, 0.446], [0.149, 0.178, 0.750], [0.150, 0.362, 0.446], [0.156, 0.381, 0.096], [0.165, 0.872, 0.265], [0.178, 0.149, 0.250], [0.322, 0.649, 0.750], [0.335, 0.372, 0.735], [0.344, 0.881, 0.904], [0.350, 0.862, 0.554], [0.351, 0.678, 0.250], [0.362, 0.150, 0.554], [0.372, 0.335, 0.265], [0.381, 0.156, 0.904], [0.500, 0.000, 0.211], [0.619, 0.844, 0.904], [0.628, 0.665, 0.265], [0.638, 0.850, 0.554], [0.649, 0.322, 0.250], [0.650, 0.138, 0.554], [0.656, 0.119, 0.904], [0.665, 0.628, 0.735], [0.678, 0.351, 0.750], [0.822, 0.851, 0.250], [0.835, 0.128, 0.265], [0.844, 0.619, 0.096], [0.850, 0.638, 0.446], [0.851, 0.822, 0.750], [0.862, 0.350, 0.446], [0.872, 0.165, 0.735], [0.881, 0.344, 0.096]]
}